Ni2TeAu2 | GGA-PBE | optimized geometry

```
5
Lattice="-3.037 -1.499 1.479 0.276 -2.857 -2.328 2.332 -5.383 3.949" Properties=species:S:1:pos:R:3 pbc="T T T"
Te 0.000 0.000 0.000
Ni 0.614 -5.209 0.598
Ni -1.043 -4.530 2.502
Au 0.116 -6.839 2.540
Au -0.545 -2.899 0.560
```

VASP energy: -3.917 eV/atom
total magnetization: 0.00 μB per formula unit
mass density: 11.82 Mg/m³
raw formation energy: 1.7 eV/f.u.
crystal system: tetragonal